(1)
Here is crystalline SnHgPbAu at its relaxed geometry from Alexandria. Energies are from PBE-GGA.

Cell: 3.808 4.431 6.657 Å, 109.44 90.11 90.00°
Atoms (fractional coordinates):
Pb1 0.131 0.197 0.393
Sn1 0.134 0.931 0.862
Hg1 0.633 0.523 0.047
Au1 0.632 0.763 0.525

Properties
Offset from the most stable computed form ... 0.000 kcal/mol of atoms

---

(2)
Here is crystalline SrHg2Pb2Au2 at its relaxed geometry from Alexandria. Energies are from PBE-GGA.

Cell: 4.853 4.853 9.788 Å, 75.65 75.65 60.00°
Atoms (fractional coordinates):
Sr1 0.000 0.000 0.000
Pb1 0.135 0.135 0.594
Pb2 0.865 0.865 0.406
Au1 0.582 0.582 0.253
Au2 0.418 0.418 0.747
Hg1 0.729 0.729 0.813
Hg2 0.271 0.271 0.187

---

(3)
Here is crystalline Sr2HgPbAu6 at its relaxed geometry from Alexandria. Energies are from PBE-GGA.

Cell: 7.528 7.528 7.528 Å, 60.00 60.00 90.00°
Atoms (fractional coordinates):
Au1 0.248 0.248 0.000
Au2 0.752 0.752 0.000
Au3 0.248 0.248 0.505
Au4 0.752 0.248 0.000
Au5 0.248 0.752 0.000
Au6 0.752 0.752 0.495
Sr1 0.750 0.250 0.500
Sr2 0.250 0.750 0.500
Hg1 0.000 0.000 0.000
Pb1 0.500 0.500 0.000

---

(4)
Here is crystalline SrHg2Pb2Au at its relaxed geometry from Alexandria. Energies are from PBE-GGA.

Cell: 4.576 4.576 10.377 Å, 102.74 102.74 90.00°
Atoms (fractional coordinates):
Pb1 0.750 0.250 0.500
Pb2 0.250 0.750 0.500
Hg1 0.136 0.136 0.272
Hg2 0.864 0.864 0.728
Sr1 0.500 0.500 0.000
Au1 0.000 0.000 0.000

---

(5)
Here is crystalline TaHgPb2Au at its relaxed geometry from Alexandria. Energies are from PBE-GGA.

Cell: 5.591 5.116 5.591 Å, 90.00 90.00 90.00°
Atoms (fractional coordinates):
Au1 0.000 0.500 0.000
Pb1 0.000 0.000 0.500
Pb2 0.500 0.000 0.000
Hg1 0.500 0.500 0.500
Ta1 0.000 0.000 0.000

---

(6)
Here is crystalline TbHgPbAu at its relaxed geometry from Alexandria. Energies are from PBE-GGA.

Cell: 5.165 5.165 5.165 Å, 60.00 60.00 60.00°
Atoms (fractional coordinates):
Pb1 0.250 0.250 0.250
Hg1 0.500 0.500 0.500
Tb1 0.750 0.750 0.750
Au1 0.000 0.000 0.000

---

(7)
Here is crystalline TcHgPb2Au at its relaxed geometry from Alexandria. Energies are from PBE-GGA.

Cell: 5.523 5.200 5.523 Å, 90.00 90.00 90.00°
Each line ends with the local moment (μB).
Atoms (fractional coordinates):
Tc1 0.500 0.500 0.500  3.48
Hg1 0.000 0.500 0.000  0.01
Pb1 0.500 0.000 0.000  -0.06
Pb2 0.000 0.000 0.500  -0.06
Au1 0.000 0.000 0.000  -0.01

---

(8)
Here is crystalline ThHgPbAu at its relaxed geometry from Alexandria. Energies are from PBE-GGA.

Cell: 5.241 5.241 5.241 Å, 60.00 60.00 60.00°
Atoms (fractional coordinates):
Pb1 0.250 0.250 0.250
Au1 0.000 0.000 0.000
Th1 0.750 0.750 0.750
Hg1 0.500 0.500 0.500

---

Number 1: size of the total moment 0.00 Bohr magnetons per cell, Fermi-level density of states 1.640 states/eV/f.u., calculated formation energy -0.022 eV per atom. Number 2: size of the total moment 0.00 Bohr magnetons per cell, Fermi-level density of states 2.588 states/eV/f.u., calculated formation energy -0.259 eV per atom. Number 3: size of the total moment 0.00 Bohr magnetons per cell, Fermi-level density of states 3.462 states/eV/f.u., calculated formation energy -0.096 eV per atom. Number 4: size of the total moment 0.00 Bohr magnetons per cell, Fermi-level density of states 2.078 states/eV/f.u., calculated formation energy -0.128 eV per atom. Number 5: size of the total moment 0.00 Bohr magnetons per cell, Fermi-level density of states 4.662 states/eV/f.u., calculated formation energy 0.621 eV per atom. Number 6: size of the total moment 0.00 Bohr magnetons per cell, Fermi-level density of states 1.255 states/eV/f.u., calculated formation energy -0.431 eV per atom. Number 7: size of the total moment 3.79 Bohr magnetons per cell, Fermi-level density of states 3.281 states/eV/f.u., calculated formation energy 1.088 eV per atom. Number 8: size of the total moment 0.00 Bohr magnetons per cell, Fermi-level density of states 2.942 states/eV/f.u., calculated formation energy -0.329 eV per atom.